# 1
Density functional theory data (PBE) for an optimized crystal structure of BaLi2GePt.

abc: 4.934 4.934 4.880
angles: 90.00 90.00 90.00
Sites, in units of the cell vectors:
Ge (0.000, 0.000, 0.000)
Ba (0.500, 0.500, 0.500)
Pt (0.000, 0.000, 0.500)
Li (0.000, 0.500, 0.000)
Li (0.500, 0.000, 0.000)

## Properties
N(E_F): 0.559 states/eV/atom
total DFT energy (no corrections): -3.678 eV/atom
ΔH_f (0 K): -397 meV/atom
M_tot: 0.00 μB/f.u.
polymorph energy (0 for the lowest one): 88 meV/atom


# 2
Density functional theory data (PBE) for an optimized crystal structure of KCeP4O12.

abc: 8.654 7.427 8.137
angles: 88.29 90.00 90.00
Sites, in units of the cell vectors:
K (0.685, 0.768, 0.783)
K (0.185, 0.232, 0.217)
Ce (0.503, 0.264, 0.740)
Ce (0.003, 0.736, 0.260)
P (0.127, 0.069, 0.598)
P (0.627, 0.931, 0.402)
P (0.753, 0.118, 0.105)
P (0.253, 0.882, 0.895)
P (0.652, 0.497, 0.118)
P (0.152, 0.503, 0.882)
P (0.927, 0.400, 0.607)
P (0.427, 0.600, 0.393)
O (0.693, 0.106, 0.933)
O (0.193, 0.894, 0.067)
O (0.046, 0.511, 0.719)
O (0.546, 0.489, 0.281)
O (0.620, 0.041, 0.229)
O (0.120, 0.959, 0.771)
O (0.753, 0.662, 0.114)
O (0.253, 0.338, 0.886)
O (0.593, 0.058, 0.538)
O (0.093, 0.942, 0.462)
O (0.269, 0.182, 0.574)
O (0.769, 0.818, 0.426)
O (0.555, 0.467, 0.969)
O (0.055, 0.533, 0.031)
O (0.762, 0.326, 0.157)
O (0.262, 0.674, 0.843)
O (0.459, 0.534, 0.567)
O (0.959, 0.466, 0.433)
O (0.405, 0.966, 0.851)
O (0.905, 0.034, 0.149)
O (0.976, 0.192, 0.627)
O (0.476, 0.808, 0.373)
O (0.768, 0.414, 0.677)
O (0.268, 0.586, 0.323)

## Properties
N(E_F): 0.313 states/eV/atom
ΔE_f (raw): -2.43 eV/atom
total DFT energy (no corrections): -7.325 eV/atom
M_tot: 1.00 μB/f.u.


# 3
Density functional theory data (PBE) for an optimized crystal structure of BeRe2Ir.

abc: 3.676 3.676 9.240
angles: 78.53 78.53 90.00
Sites, in units of the cell vectors:
Re (0.586, 0.125, 0.250)
Re (0.164, 0.625, 0.250)
Re (0.375, 0.414, 0.750)
Re (0.875, 0.836, 0.750)
Ir (0.000, 0.000, 0.000)
Ir (0.750, 0.250, 0.500)
Be (0.500, 0.500, 0.000)
Be (0.250, 0.750, 0.500)

## Properties
N(E_F): 0.482 states/eV/atom
total DFT energy (no corrections): -8.878 eV/atom
ΔH_f (0 K): 493 meV/atom
M_tot: 0.00 μB/f.u.


# 4
Density functional theory data (PBE) for an optimized crystal structure of MgAlIN2.

abc: 4.322 4.322 5.952
angles: 90.00 90.00 90.00
Sites, in units of the cell vectors:
I (0.000, 0.000, 0.500)
Mg (0.000, 0.000, 0.000)
Al (0.500, 0.500, 0.500)
N (0.000, 0.500, 0.000)
N (0.500, 0.000, 0.000)

## Properties
N(E_F): 0.254 states/eV/atom
ΔE_f (raw): 1.21 eV/atom
total DFT energy (no corrections): -3.502 eV/atom
M_tot: 3.84 μB/f.u.
polymorph energy (0 for the lowest one): 665 meV/atom


# 5
Density functional theory data (PBE) for an optimized crystal structure of MgFeRu4.

abc: 5.096 5.096 5.096
angles: 60.00 60.00 60.00
Sites, in units of the cell vectors:
Mg (0.000, 0.000, 0.000)
Fe (0.750, 0.750, 0.750)
Ru (0.875, 0.375, 0.375)
Ru (0.375, 0.375, 0.875)
Ru (0.375, 0.875, 0.375)
Ru (0.375, 0.375, 0.375)

## Properties
N(E_F): 1.558 states/eV/atom
total DFT energy (no corrections): -7.457 eV/atom
ΔH_f (0 K): 403 meV/atom
M_tot: 4.61 μB/f.u.


# 6
Density functional theory data (PBE) for an optimized crystal structure of CsHoBe2F8.

abc: 5.184 5.184 8.814
angles: 85.00 85.00 64.80
Sites, in units of the cell vectors:
Cs (0.000, 0.000, 0.500)
Ho (0.000, 0.000, 0.000)
Be (0.622, 0.622, 0.209)
Be (0.378, 0.378, 0.791)
F (0.708, 0.245, 0.823)
F (0.758, 0.758, 0.074)
F (0.674, 0.674, 0.366)
F (0.326, 0.326, 0.634)
F (0.242, 0.242, 0.926)
F (0.245, 0.708, 0.823)
F (0.755, 0.292, 0.177)
F (0.292, 0.755, 0.177)

## Properties
N(E_F): 0.000 states/eV/atom
ΔE_f (raw): -3.51 eV/atom
total DFT energy (no corrections): -5.835 eV/atom
M_tot: 0.18 μB/f.u.


Question: What is the formula in the third record?
Answer: BeRe2Ir


Question: Among the records above, which one has the lowest total DFT energy (no corrections)?
Answer: BeRe2Ir